Entry 1:
CeTm2Co2 GGA-PBE relaxed; calculated formation energy = -1.30 eV/f.u.; D(E_F) = 11.3 states/eV/cell
1.0
5.9191 0.0000 0.0000
-2.9596 5.1490 0.3619
0.0000 -1.7144 6.7519
Ce Tm Co
2 4 4
direct
0.9164 0.0000 0.2500 Ce
0.0836 0.0000 0.7500 Ce
0.5465 0.3087 0.1504 Tm
0.2378 0.6913 0.3496 Tm
0.4535 0.6913 0.8496 Tm
0.7622 0.3087 0.6504 Tm
0.6966 0.6948 0.4878 Co
0.0018 0.3052 0.0122 Co
0.3034 0.3052 0.5122 Co
0.9982 0.6948 0.9878 Co

Entry 2:
CeTmCo2 GGA-PBE relaxed; calculated formation energy = -0.87 eV/f.u.; D(E_F) = 7.2 states/eV/cell
1.0
3.8923 0.0000 0.0000
0.0000 5.6241 0.0000
0.0000 0.0000 6.9364
Ce Tm Co
2 2 4
direct
0.0000 0.1111 0.6872 Ce
0.0000 0.8889 0.1872 Ce
0.5000 0.3889 0.3230 Tm
0.5000 0.6111 0.8230 Tm
0.0000 0.6329 0.5341 Co
0.0000 0.3671 0.0341 Co
0.5000 0.8966 0.4557 Co
0.5000 0.1034 0.9557 Co

Entry 3:
CeTmCo GGA-PBE relaxed; excess energy over the best structure of this formula in the dataset = 145 meV/atom; calculated formation energy = -0.05 eV/f.u.; D(E_F) = 6.2 states/eV/cell
1.0
4.6586 0.0000 0.0000
2.3293 4.0345 0.0000
2.3293 1.3448 3.8037
Tm Co Ce
1 1 1
direct
0.0000 0.0000 0.0000 Tm
0.2500 0.2500 0.2500 Co
0.5000 0.5000 0.5000 Ce

Entry 4:
CeTm2Co GGA-PBE relaxed; excess energy over the best structure of this formula in the dataset = 365 meV/atom; calculated formation energy = 0.65 eV/f.u.; D(E_F) = 7.6 states/eV/cell
1.0
-2.9305 -0.9379 1.5363
-1.6586 -2.8274 -1.0405
3.7614 -6.8222 6.8592
Tm Co Ce
2 1 1
direct
0.1111 0.1111 0.6667 Tm
0.8889 0.8889 0.3333 Tm
0.5000 0.5000 0.5000 Co
0.0000 0.0000 0.0000 Ce

Entry 5:
CeTm2Co GGA-PBE relaxed; excess energy over the best structure of this formula in the dataset = 128 meV/atom; calculated formation energy = -0.29 eV/f.u.; D(E_F) = 6.2 states/eV/cell
1.0
-2.3311 -1.4761 1.8535
0.9224 -2.9603 -1.1975
5.7484 -0.8572 6.5467
Tm Co Ce
2 1 1
direct
0.0000 0.0000 0.8182 Tm
0.0000 0.0000 0.1818 Tm
0.5000 0.5000 0.0000 Co
0.5000 0.5000 0.5000 Ce

Entry 6:
CeTmCo GGA-PBE relaxed; excess energy over the best structure of this formula in the dataset = 67 meV/atom; calculated formation energy = -0.29 eV/f.u.; D(E_F) = 19.6 states/eV/cell
1.0
-4.4953 -2.6923 -4.1649
-4.9492 0.6578 4.9166
-3.7792 5.9700 0.2198
Ce Tm Co
4 4 4
direct
0.7165 0.7798 0.0672 Ce
0.2835 0.2202 0.9328 Ce
0.2165 0.2202 0.4328 Ce
0.7835 0.7798 0.5672 Ce
0.1891 0.7038 0.9110 Tm
0.3109 0.7038 0.4110 Tm
0.8109 0.2962 0.0890 Tm
0.6891 0.2962 0.5890 Tm
0.5394 0.5437 0.7952 Co
0.4606 0.4563 0.2048 Co
0.9606 0.5437 0.2952 Co
0.0394 0.4563 0.7048 Co

Entry 7:
CeTmCo2 GGA-PBE relaxed; calculated formation energy = -0.71 eV/f.u.; D(E_F) = 3.6 states/eV/cell
1.0
-1.3116 2.0644 2.2388
-2.6004 0.5093 -1.9931
-3.1768 -5.0999 2.8415
Tm Co Ce
1 2 1
direct
0.5000 0.5000 0.5000 Tm
0.0000 0.0000 0.7691 Co
0.0000 0.0000 0.2309 Co
0.5000 0.5000 0.0000 Ce

Entry 8:
CeTmCo GGA-PBE relaxed; excess energy over the best structure of this formula in the dataset = 0 meV/atom; calculated formation energy = -0.49 eV/f.u.; D(E_F) = 6.5 states/eV/cell
1.0
-3.4260 -0.1949 -0.8528
-1.1334 -0.6200 4.6947
-0.6267 7.5421 0.8446
Ce Tm Co
2 2 2
direct
0.0202 0.3378 0.9648 Ce
0.5256 0.8378 0.0820 Ce
0.0235 0.8378 0.6509 Tm
0.5223 0.3378 0.3960 Tm
0.5227 0.3378 0.7481 Co
0.0231 0.8379 0.2988 Co

Entry 9:
Ce2TmCo GGA-PBE relaxed; excess energy over the best structure of this formula in the dataset = 1 meV/atom; calculated formation energy = -0.55 eV/f.u.; D(E_F) = 32.4 states/eV/cell
1.0
-5.7349 0.4785 1.6023
-1.7909 -3.8059 -5.2731
0.8427 -7.8013 5.3446
Ce Tm Co
8 4 4
direct
0.1412 0.6571 0.0617 Ce
0.3588 0.1571 0.4383 Ce
0.8588 0.3428 0.5618 Ce
0.6412 0.8429 0.9382 Ce
0.8588 0.3429 0.9383 Ce
0.6412 0.8429 0.5617 Ce
0.1412 0.6572 0.4382 Ce
0.3588 0.1571 0.0618 Ce
0.6315 0.5530 0.2500 Tm
0.8685 0.0530 0.2500 Tm
0.3685 0.4470 0.7500 Tm
0.1315 0.9470 0.7500 Tm
0.1213 0.4050 0.2500 Co
0.3787 0.9050 0.2500 Co
0.8787 0.5950 0.7500 Co
0.6213 0.0950 0.7500 Co

Entry 10:
Ce2TmCo GGA-PBE relaxed; excess energy over the best structure of this formula in the dataset = 143 meV/atom; calculated formation energy = 0.02 eV/f.u.; D(E_F) = 8.5 states/eV/cell
1.0
-2.8466 -0.0513 2.3261
-2.4538 -2.7333 -0.1576
3.0312 -5.5683 6.4922
Ce Tm Co
2 1 1
direct
0.0614 0.0614 0.8159 Ce
0.2725 0.2725 0.1825 Ce
0.4992 0.4992 0.5025 Tm
0.6670 0.6670 0.9991 Co

Entry 11:
CeTmCo GGA-PBE relaxed; excess energy over the best structure of this formula in the dataset = 251 meV/atom; calculated formation energy = 0.26 eV/f.u.; D(E_F) = 5.9 states/eV/cell
1.0
4.7715 0.0000 0.0000
0.0000 4.1312 0.0000
0.0000 -2.0656 3.5777
Tm Co Ce
1 1 1
direct
0.6671 0.6667 0.3333 Tm
0.1658 0.0000 0.0000 Co
0.1671 0.3333 0.6667 Ce

Entry 12:
CeTmCo2 GGA-PBE relaxed; calculated formation energy = -0.97 eV/f.u.; D(E_F) = 16.0 states/eV/cell
1.0
5.7335 0.0000 -1.2610
0.0000 5.9297 0.0000
-0.4709 0.0000 9.1367
Ce Tm Co
4 4 8
direct
0.5404 0.8638 0.3455 Ce
0.4596 0.1362 0.6545 Ce
0.9596 0.8638 0.1545 Ce
0.0404 0.1362 0.8455 Ce
0.9558 0.6423 0.6465 Tm
0.0442 0.3577 0.3535 Tm
0.5442 0.6423 0.8535 Tm
0.4558 0.3577 0.1465 Tm
0.9159 0.3364 0.0355 Co
0.0841 0.6636 0.9645 Co
0.5841 0.3364 0.4645 Co
0.4159 0.6636 0.5355 Co
0.5572 0.1365 0.9070 Co
0.4428 0.8635 0.0930 Co
0.9428 0.1365 0.5930 Co
0.0572 0.8635 0.4070 Co